(1)
Compound: LiHfAlPt
Source: OQMD via LeMat-Bulk
Functional: PBE
Structure: relaxed

Cell lengths 6.2804, 6.2804, 6.2804 Å; angles 90.00, 90.00, 90.00 degrees
Atoms (fractional coordinates):
1 Li 0.0000 0.0000 0.0000
2 Li 0.0000 0.5000 0.5000
3 Li 0.5000 0.0000 0.5000
4 Li 0.5000 0.5000 0.0000
5 Hf 0.2500 0.2500 0.7500
6 Hf 0.2500 0.7500 0.2500
7 Hf 0.7500 0.2500 0.2500
8 Hf 0.7500 0.7500 0.7500
9 Al 0.0000 0.0000 0.5000
10 Al 0.0000 0.5000 0.0000
11 Al 0.5000 0.0000 0.0000
12 Al 0.5000 0.5000 0.5000
13 Pt 0.2500 0.2500 0.2500
14 Pt 0.2500 0.7500 0.7500
15 Pt 0.7500 0.2500 0.7500
16 Pt 0.7500 0.7500 0.2500

## Properties
Energy above the lowest structure with this stoichiometry ... 383 meV per atom
Size of the total moment ... 0.019 μB per cell

---

(2)
Compound: LiHfAlPt
Source: OQMD via LeMat-Bulk
Functional: PBE
Structure: relaxed

Cell lengths 6.3893, 6.3893, 6.3893 Å; angles 90.00, 90.00, 90.00 degrees
Atoms (fractional coordinates):
1 Li 0.0000 0.0000 0.0000
2 Li 0.0000 0.5000 0.5000
3 Li 0.5000 0.0000 0.5000
4 Li 0.5000 0.5000 0.0000
5 Hf 0.0000 0.0000 0.5000
6 Hf 0.0000 0.5000 0.0000
7 Hf 0.5000 0.0000 0.0000
8 Hf 0.5000 0.5000 0.5000
9 Al 0.2500 0.2500 0.7500
10 Al 0.2500 0.7500 0.2500
11 Al 0.7500 0.2500 0.2500
12 Al 0.7500 0.7500 0.7500
13 Pt 0.2500 0.2500 0.2500
14 Pt 0.2500 0.7500 0.7500
15 Pt 0.7500 0.2500 0.7500
16 Pt 0.7500 0.7500 0.2500

## Properties
Energy above the lowest structure with this stoichiometry ... 277 meV per atom
Size of the total moment ... 0.008 μB per cell

---

(3)
Compound: LiHfAlPt
Source: OQMD via LeMat-Bulk
Functional: PBE
Structure: relaxed

Cell lengths 6.3080, 6.3080, 6.3080 Å; angles 90.00, 90.00, 90.00 degrees
Atoms (fractional coordinates):
1 Li 0.0000 0.0000 0.0000
2 Li 0.0000 0.5000 0.5000
3 Li 0.5000 0.0000 0.5000
4 Li 0.5000 0.5000 0.0000
5 Hf 0.2500 0.2500 0.2500
6 Hf 0.2500 0.7500 0.7500
7 Hf 0.7500 0.2500 0.7500
8 Hf 0.7500 0.7500 0.2500
9 Al 0.2500 0.2500 0.7500
10 Al 0.2500 0.7500 0.2500
11 Al 0.7500 0.2500 0.2500
12 Al 0.7500 0.7500 0.7500
13 Pt 0.0000 0.0000 0.5000
14 Pt 0.0000 0.5000 0.0000
15 Pt 0.5000 0.0000 0.0000
16 Pt 0.5000 0.5000 0.5000

## Properties
Energy above the lowest structure with this stoichiometry ... 0 meV per atom
Size of the total moment ... 0.005 μB per cell

---

(4)
Compound: Li2HfScAl2Pt2
Source: OQMD via LeMat-Bulk
Functional: PBE
Structure: relaxed

Cell lengths 4.4254, 4.4254, 6.2949 Å; angles 90.00, 90.00, 90.00 degrees
Atoms (fractional coordinates):
1 Li 0.0000 0.5000 0.2441
2 Li 0.5000 0.0000 0.7559
3 Hf 0.0000 0.0000 0.5000
4 Sc 0.5000 0.5000 0.0000
5 Al 0.0000 0.5000 0.7534
6 Al 0.5000 0.0000 0.2466
7 Pt 0.0000 0.0000 0.0000
8 Pt 0.5000 0.5000 0.5000

## Properties
Uncorrected energy ... -5.602 eV/atom
Size of the total moment ... 0.014 μB per cell

---

(5)
Compound: Li2HfZrAl2Pt2
Source: OQMD via LeMat-Bulk
Functional: PBE
Structure: relaxed

Cell lengths 4.4523, 4.4523, 6.3049 Å; angles 90.00, 90.00, 90.00 degrees
Atoms (fractional coordinates):
1 Li 0.0000 0.5000 0.2498
2 Li 0.5000 0.0000 0.7502
3 Hf 0.0000 0.0000 0.5000
4 Zr 0.5000 0.5000 0.0000
5 Al 0.0000 0.5000 0.7501
6 Al 0.5000 0.0000 0.2499
7 Pt 0.0000 0.0000 0.0000
8 Pt 0.5000 0.5000 0.5000

## Properties
Uncorrected energy ... -5.770 eV/atom
Size of the total moment ... 0.067 μB per cell

---

(6)
Compound: Lu2Hf4Al3N3
Source: OQMD via LeMat-Bulk
Functional: PBE
Structure: relaxed

Cell lengths 5.6423, 5.6423, 14.6767 Å; angles 101.18, 101.18, 59.97 degrees
Atoms (fractional coordinates):
1 Lu 0.0348 0.8724 0.6045
2 Lu 0.1276 0.9652 0.8955
3 Lu 0.8724 0.0348 0.1045
4 Lu 0.9652 0.1276 0.3955
5 Hf 0.1936 0.3561 0.0828
6 Hf 0.3007 0.4777 0.4173
7 Hf 0.3561 0.1936 0.5828
8 Hf 0.4777 0.3007 0.9173
9 Hf 0.5223 0.6993 0.0827
10 Hf 0.6439 0.8064 0.4172
11 Hf 0.6993 0.5223 0.5827
12 Hf 0.8064 0.6439 0.9172
13 Al 0.0840 0.3884 0.7505
14 Al 0.3884 0.0840 0.2505
15 Al 0.4448 0.5552 0.2500
16 Al 0.5552 0.4448 0.7500
17 Al 0.6116 0.9160 0.7495
18 Al 0.9160 0.6116 0.2495
19 N 0.0000 0.5000 0.5000
20 N 0.1657 0.6686 0.0000
21 N 0.3314 0.8343 0.5000
22 N 0.5000 0.0000 0.0000
23 N 0.6686 0.1657 0.5000
24 N 0.8343 0.3314 0.0000

## Properties
Uncorrected energy ... -8.202 eV/atom
Size of the total moment ... 0.013 μB per cell

---

Per-record mass density, g/cm3: 10.9, 10.4, 10.8, 9.2, 9.7, 10.0